PBE Al2ZnHg2, relaxed; final energy = -15.67 eV per cell; calculated volume = 223.3 Å³ per cell; total magnetization = 0.00 μB/atom; energy relative to the lowest polymorph listed for this composition = 147 meV per atom
1.0
4.2186 0.0000 0.0000
0.0000 4.2186 0.0000
0.0000 0.0000 12.5483
Al Zn Hg
4 2 4
Direct
0.0000 0.0000 0.1010
0.0000 0.0000 0.8990
0.5000 0.5000 0.3990
0.5000 0.5000 0.6010
0.0000 0.0000 0.5000
0.5000 0.5000 0.0000
0.0000 0.5000 0.2500
0.0000 0.5000 0.7500
0.5000 0.0000 0.2500
0.5000 0.0000 0.7500


PBE CaNdRh, relaxed; final energy = -30.66 eV per cell; calculated volume = 166.7 Å³ per cell; total magnetization = 0.00 μB/atom; energy relative to the lowest polymorph listed for this composition = 44 meV per atom
1.0
3.4960 0.0000 0.0000
1.7443 6.9080 0.0000
0.0056 1.7935 6.9044
Ca Nd Rh
2 2 2
Direct
0.1233 0.2525 0.0608
0.8767 0.7475 0.9392
0.1285 0.2430 0.5637
0.8715 0.7570 0.4363
0.5003 0.4992 0.2710
0.4997 0.5008 0.7290


PBE BaTcIr2, relaxed; final energy = -28.02 eV per cell; calculated volume = 82.0 Å³ per cell; total magnetization = 0.00 μB/atom; energy relative to the lowest polymorph listed for this composition = 403 meV per atom
1.0
2.8651 0.0000 0.0000
0.0000 3.8311 0.0000
0.0000 0.0000 7.4724
Ba Tc Ir
1 1 2
Direct
0.0000 0.0000 0.0000
0.5000 0.5000 0.6497
0.0000 0.0000 0.4976
0.5000 0.5000 0.3092


PBE Nb2GeP, relaxed; final energy = -91.80 eV per cell; calculated volume = 245.5 Å³ per cell; total magnetization = 0.00 μB/atom; energy relative to the lowest polymorph listed for this composition = 233 meV per atom
1.0
3.4619 0.0000 0.0000
-1.7310 2.9981 0.0000
0.0000 0.0000 23.6504
Nb Ge P
6 3 3
Direct
0.0000 0.0000 0.1090
0.0000 0.0000 0.8910
0.3333 0.6667 0.5577
0.3333 0.6667 0.7756
0.6667 0.3333 0.2244
0.6667 0.3333 0.4423
0.0000 0.0000 0.0000
0.3333 0.6667 0.6667
0.6667 0.3333 0.3333
0.0000 0.0000 0.5000
0.3333 0.6667 0.1667
0.6667 0.3333 0.8333


PBE Mg2IrAu, relaxed; final energy = -34.40 eV per cell; calculated volume = 130.6 Å³ per cell; total magnetization = 0.00 μB/atom
1.0
6.0567 0.0000 0.0000
0.0000 6.7384 0.0000
0.0000 0.0000 3.1998
Mg Ir Au
4 2 2
Direct
0.2500 0.2500 0.0000
0.2500 0.7500 0.0000
0.7500 0.2500 0.0000
0.7500 0.7500 0.0000
0.0000 0.0000 0.5000
0.5000 0.5000 0.5000
0.0000 0.5000 0.5000
0.5000 0.0000 0.5000


PBE V2Tc2W3, relaxed; final energy = -78.84 eV per cell; calculated volume = 104.6 Å³ per cell; total magnetization = 0.00 μB/atom
1.0
3.1025 0.0000 0.0000
1.5390 4.9172 0.0000
0.0023 0.9718 6.8551
V Tc W
2 2 3
Direct
0.1443 0.2120 0.4327
0.8557 0.7880 0.5673
0.4305 0.6385 0.2949
0.5695 0.3615 0.7051
0.0000 0.5000 0.0000
0.2850 0.9300 0.8515
0.7150 0.0700 0.1485


PBE LiTl2Cd, relaxed; final energy = -7.92 eV per cell; calculated volume = 97.8 Å³ per cell; total magnetization = 0.00 μB/atom
1.0
3.4145 0.0000 0.0000
0.0000 3.4145 0.0000
0.0000 0.0000 8.3907
Li Tl Cd
1 2 1
Direct
0.0000 0.0000 0.0000
0.0000 0.0000 0.5242
0.5000 0.5000 0.2186
0.5000 0.5000 0.8094


PBE ReBr, relaxed; final energy = -108.10 eV per cell; formation energy without anion corrections = 0.304 eV per atom; calculated volume = 379.5 Å³ per cell; total magnetization = 0.00 μB/atom; energy relative to the lowest polymorph listed for this composition = 73 meV per atom
1.0
10.5603 0.0000 0.0000
0.0000 10.5603 0.0000
0.0000 0.0000 3.4028
Re Br
8 8
Direct
0.0741 0.6120 0.0000
0.0907 0.4061 0.5000
0.3880 0.0741 0.0000
0.4061 0.9093 0.5000
0.5939 0.0907 0.5000
0.6120 0.9259 0.0000
0.9093 0.5939 0.5000
0.9259 0.3880 0.0000
0.1762 0.8023 0.5000
0.1977 0.1762 0.5000
0.2865 0.4871 0.0000
0.4871 0.7135 0.0000
0.5129 0.2865 0.0000
0.7135 0.5129 0.0000
0.8023 0.8238 0.5000
0.8238 0.1977 0.5000


PBE Dy2Si2NiRh5, relaxed; final energy = -140.73 eV per cell; formation energy without anion corrections = -0.778 eV per atom; calculated volume = 321.6 Å³ per cell; total magnetization = 0.07 μB/atom
1.0
9.6692 0.0000 0.0000
0.0000 9.6692 0.0000
0.0000 0.0000 3.4401
Dy Si Ni Rh
4 4 2 10
Direct
0.1740 0.3260 0.0000
0.3260 0.8260 0.0000
0.6740 0.1740 0.0000
0.8260 0.6740 0.0000
0.1267 0.6267 0.0000
0.3733 0.1267 0.0000
0.6267 0.8733 0.0000
0.8733 0.3733 0.0000
0.0000 0.0000 0.0000
0.5000 0.5000 0.0000
0.0000 0.5000 0.5000
0.0672 0.7912 0.5000
0.2088 0.0672 0.5000
0.2912 0.5672 0.5000
0.4328 0.2912 0.5000
0.5000 0.0000 0.5000
0.5672 0.7088 0.5000
0.7088 0.4328 0.5000
0.7912 0.9328 0.5000
0.9328 0.2088 0.5000